First-principles (PBE) data for a relaxed structure of LaOsCl2, as listed in Alexandria via LeMat-Bulk.

a b c (Å): 11.0148 11.0148 11.0148
angles (deg): 17.53 17.53 17.53
Closest atoms and distances in Å follow each position.
Element x y z (fractional)
1 La 0.0000 0.0000 0.0000  6 Cl 2.84
2 Os 0.5000 0.5000 0.5000  6 Os 3.36
3 Cl 0.2695 0.2695 0.2695  3 La 2.84
4 Cl 0.7305 0.7305 0.7305  3 La 2.84

Summary:
offset from the most stable computed form = 0.813 eV/atom
ρ = 6.279 g/cm3
volume = 26.4 Å³ per atom
ΔE_f (raw) = 136 meV/atom
final energy = -19.3 eV/cell
N(E_F) = 2.8 states/eV/f.u.
symmetry = R-3m
magnetization = 2.42 μB/f.u.